No. 1
Material: LiMnNi
Method: DFT, GGA-PBE
State: relaxed

Cell lengths 5.497, 3.416, 7.959 Å; angles 90.00, 90.00, 90.00 degrees
Site moments in Bohr magnetons follow the coordinates.
Sites, in units of the cell vectors:
Mn1 0.875 0.250 0.762  3.43
Mn2 0.375 0.250 0.738  3.44
Mn3 0.625 0.750 0.262  3.44
Mn4 0.125 0.750 0.238  3.43
Ni1 0.622 0.750 0.590  0.48
Ni2 0.122 0.750 0.910  0.49
Ni3 0.378 0.250 0.410  0.48
Ni4 0.878 0.250 0.090  0.49
Li1 0.626 0.750 0.926  -0.01
Li2 0.874 0.250 0.426  -0.01
Li3 0.126 0.750 0.574  -0.01
Li4 0.374 0.250 0.074  -0.01

Calculated values
Its formation energy is 123.8 meV/atom. The calculation puts the calculated volume at 149 Å³/cell. The density of states at the Fermi level is 0.6460 states/eV/atom. The calculation puts the energy at -5.50 eV/atom. The space group is Pnma.

***

No. 2
Material: LiMnNi
Method: DFT, GGA-PBE
State: relaxed

Cell lengths 4.060, 4.060, 4.904 Å; angles 90.00, 90.00, 120.00 degrees
Sites, in units of the cell vectors:
Li1 0.667 0.333 0.000
Li2 0.667 0.333 0.500
Mn1 0.333 0.667 0.200
Mn2 0.333 0.667 0.800
Ni1 0.000 0.000 0.755
Ni2 0.000 0.000 0.245

Calculated values
Its formation energy is 314.4 meV/atom. The calculation puts the calculated volume at 70 Å³/cell. The density of states at the Fermi level is 0.7244 states/eV/atom. The calculation puts the energy at -5.31 eV/atom. The space group is P-6m2.

***

No. 3
Material: LiMnNi
Method: DFT, GGA-PBE
State: relaxed

Cell lengths 12.174, 6.410, 6.410 Å; angles 158.10, 156.37, 23.63 degrees
Sites, in units of the cell vectors:
Li1 0.769 0.542 0.458
Li2 0.051 0.930 0.070
Mn1 0.555 0.945 0.055
Mn2 0.426 0.213 0.787
Ni1 0.953 0.200 0.800
Ni2 0.293 0.535 0.465

Calculated values
Its formation energy is 158.8 meV/atom. The calculation puts the calculated volume at 67 Å³/cell. The density of states at the Fermi level is 0.9125 states/eV/atom. The calculation puts the energy at -5.46 eV/atom. The space group is Cm.

***

No. 4
Material: LiMnNi
Method: DFT, GGA-PBE
State: relaxed

Cell lengths 2.453, 5.032, 6.553 Å; angles 99.19, 79.25, 119.18 degrees
Sites, in units of the cell vectors:
Mn1 0.815 0.880 0.630
Mn2 0.185 0.120 0.370
Ni1 0.199 0.614 0.329
Ni2 0.801 0.386 0.671
Li1 0.001 0.250 0.000
Li2 0.999 0.750 0.000

Calculated values
Its formation energy is 141.9 meV/atom. The calculation puts the calculated volume at 69 Å³/cell. The density of states at the Fermi level is 0.7896 states/eV/atom. The calculation puts the energy at -5.48 eV/atom. The space group is P-1.

***

No. 5
Material: Li2MnNi5
Method: DFT, GGA-PBE
State: relaxed

Cell lengths 4.887, 4.887, 4.887 Å; angles 107.01, 107.01, 114.53 degrees
Site moments in Bohr magnetons follow the coordinates.
Sites, in units of the cell vectors:
Mn1 0.778 0.778 0.000  2.99
Ni1 0.278 0.278 0.000  0.11
Ni2 0.278 0.778 0.000  0.39
Ni3 0.278 0.278 0.500  0.39
Ni4 0.778 0.778 0.500  0.39
Ni5 0.778 0.278 0.000  0.39
Li1 0.778 0.278 0.500  -0.03
Li2 0.278 0.778 0.500  -0.03

Calculated values
Its formation energy is 3.2 meV/atom. The calculation puts the calculated volume at 89 Å³/cell. The density of states at the Fermi level is 1.1419 states/eV/atom. The calculation puts the energy at -5.23 eV/atom. The space group is I4/mmm.

***

No. 6
Material: LiMnNi4
Method: DFT, GGA-PBE
State: relaxed

Cell lengths 4.360, 5.637, 7.531 Å; angles 77.09, 90.27, 130.26 degrees
Site moments in Bohr magnetons follow the coordinates.
Sites, in units of the cell vectors:
Ni1 0.746 0.000 0.085  0.62
Ni2 0.497 0.500 0.334  0.25
Ni3 0.754 0.000 0.415  0.62
Ni4 0.503 0.500 0.666  0.25
Ni5 0.003 0.500 0.166  0.25
Ni6 0.246 0.000 0.585  0.62
Ni7 0.254 0.000 0.915  0.62
Ni8 0.997 0.500 0.834  0.25
Li1 0.250 0.000 0.250  -0.03
Li2 0.750 0.000 0.750  -0.03
Mn1 0.000 0.500 0.500  3.15
Mn2 0.500 0.500 0.000  3.15

Calculated values
Its formation energy is 10.2 meV/atom. The calculation puts the calculated volume at 135 Å³/cell. The density of states at the Fermi level is 1.4511 states/eV/atom. The calculation puts the energy at -5.69 eV/atom. The space group is C2/m.